CoSeO3: relaxed, PBE with a Hubbard U.

a = 5.2196 Å, b = 5.2196 Å, c = 13.9232 Å
α = 90.00°, β = 90.00°, γ = 120.00°
Space group R-3c (No. 167, hexagonal axes)
Asymmetric unit:
1 Co 0.0000 0.0000 0.0000 (multiplicity 6)
2 Se 0.0000 0.0000 0.2500 (multiplicity 6)
3 O 0.0000 0.3634 0.2500 (multiplicity 18)

Electronic total energy = -152.766 eV per cell
Spin magnetization = 19.10 Bohr magnetons per cell